# 1
A plane-wave DFT calculation with GGA-PBE was carried out for Pm2SiO4 after structural relaxation.

```
28
Lattice="-0.022 -0.048 -5.746 6.767 -1.492 -0.013 -2.000 -9.131 6.772" Properties=species:S:1:pos:R:3 pbc="T T T"
O 3.461 -1.151 -1.590
O 5.403 -1.759 -4.744
O 0.661 -1.422 -2.764
O 1.269 -2.025 0.218
O 4.364 -4.057 -2.591
O 3.569 -4.350 0.394
O 1.254 -4.548 2.370
O -0.775 -4.280 -0.777
O 5.521 -6.392 1.790
O 3.491 -6.124 -1.356
O 1.176 -6.322 0.619
O 0.381 -6.615 3.604
O 3.476 -8.647 0.795
O 4.085 -9.250 3.777
O -0.658 -8.913 5.757
O 1.284 -9.520 2.604
Pm 5.615 -1.897 -1.347
Pm 2.861 -2.658 -3.795
Pm 6.089 -4.154 1.416
Pm 1.492 -4.510 -1.029
Pm 3.253 -6.162 2.042
Pm -1.344 -6.518 -0.403
Pm 1.884 -8.013 4.808
Pm -0.870 -8.775 2.360
Si 1.806 -1.558 -1.374
Si 4.661 -4.707 -1.000
Si 0.084 -5.965 2.013
Si 2.939 -9.114 2.388
```

Values from the calculation:
**Density**: 6.8 g/cm3
**E above lowest polymorph**: 82.0 kJ/mol of formula units
**Magnetization**: 0.0 μB/cell

# 2
A plane-wave DFT calculation with GGA-PBE was carried out for PmSiO4 after structural relaxation.

```
12
Lattice="3.526 3.526 -3.158 3.526 -3.526 3.158 -3.526 -3.526 -3.158" Properties=species:S:1:pos:R:3 pbc="T T T"
O 2.264 -1.763 0.241
O 4.789 -1.763 0.241
O 0.000 -0.501 -1.339
O 3.526 -0.501 -1.820
O 0.000 -3.025 -1.339
O 3.526 -3.025 -1.820
O -1.262 -1.763 -3.399
O 1.262 -1.763 -3.399
Pm 3.526 1.763 -2.369
Pm 0.000 -5.290 -0.790
Si 3.526 -1.763 -0.790
Si 0.000 -1.763 -2.369
```

Values from the calculation:
**E**: -93.014 eV for the cell shown
**Density**: 5.0 g/cm3
**Magnetization**: 2.0 μB/cell

# 3
A plane-wave DFT calculation with GGA-PBE was carried out for Pm2Si2O7 after structural relaxation.

```
22
Lattice="4.712 0.016 0.000 -0.566 5.663 0.000 0.000 0.000 11.191" Properties=species:S:1:pos:R:3 pbc="T T T"
O 2.356 0.008 0.000
O 0.797 2.079 0.616
O 0.045 5.453 2.027
O 2.770 1.397 2.241
O 2.487 4.229 3.355
O 0.327 2.622 3.568
O 0.514 4.910 4.979
O 2.073 2.839 5.595
O 3.632 0.768 6.212
O 3.819 3.057 7.623
O 1.659 1.450 7.836
O 1.376 4.281 8.950
O 4.101 0.226 9.164
O 3.349 3.599 10.575
Pm 3.807 3.396 1.650
Pm 4.090 0.564 3.945
Pm 0.056 5.114 7.246
Pm 0.339 2.283 9.541
Si 1.621 0.802 1.252
Si 1.338 3.634 4.343
Si 2.808 2.045 6.848
Si 2.525 4.876 9.939
```

Values from the calculation:
**Density**: 5.1 g/cm3
**E above lowest polymorph**: 7.3 kJ/mol of formula units
**Magnetization**: 0.0 μB/cell

# 4
A plane-wave DFT calculation with GGA-PBE was carried out for PmSm2O4 after structural relaxation.

```
14
Lattice="-3.902 0.653 -5.728 6.870 -0.972 -0.562 -4.082 -5.197 2.191" Properties=species:S:1:pos:R:3 pbc="T T T"
O -2.362 -1.814 -2.827
O 3.119 -2.637 -0.444
O 1.291 -2.332 -3.126
O -0.319 -2.244 -0.037
O -4.274 -4.248 -1.802
O 0.987 -5.132 0.726
O -2.231 -4.678 0.988
O -0.841 -4.827 -1.957
Pm 0.000 0.000 0.000
Pm -0.512 -1.295 -4.029
Sm 3.179 -1.134 -2.296
Sm 1.139 -3.732 -1.200
Sm -2.297 -3.246 -0.919
Sm -4.247 -2.920 -3.783
```

Values from the calculation:
**E**: -111.537 eV for the cell shown
**Density**: 7.1 g/cm3
**Magnetization**: 0.7 μB/cell

# 5
A plane-wave DFT calculation with GGA-PBE was carried out for PmSm2O3 after structural relaxation.

```
6
Lattice="3.495 0.000 0.000 -1.747 3.026 0.000 0.000 0.000 8.548" Properties=species:S:1:pos:R:3 pbc="T T T"
O 0.000 0.000 0.000
O 0.000 2.018 2.837
O 1.747 1.009 5.711
Pm 0.000 0.000 4.274
Sm 1.747 1.009 1.423
Sm 0.000 2.018 7.125
```

Values from the calculation:
**E**: -45.580 eV for the cell shown
**Density**: 9.1 g/cm3
**Magnetization**: 0.0 μB/cell

# 6
A plane-wave DFT calculation with GGA-PBE was carried out for PmSmO2 after structural relaxation.

```
4
Lattice="3.501 0.000 0.000 0.000 3.501 0.000 0.000 0.000 4.949" Properties=species:S:1:pos:R:3 pbc="T T T"
O 1.750 1.750 0.000
O 0.000 0.000 2.474
Pm 1.750 1.750 2.474
Sm 0.000 0.000 0.000
```

Values from the calculation:
**E**: -30.398 eV for the cell shown
**Density**: 9.0 g/cm3
**Magnetization**: 0.0 μB/cell

# 7
A plane-wave DFT calculation with GGA-PBE was carried out for PmSmTeO2 after structural relaxation.

```
5
Lattice="3.713 -1.574 5.689 -1.093 1.225 6.777 -2.694 -2.288 -6.011" Properties=species:S:1:pos:R:3 pbc="T T T"
O 1.164 -2.018 2.954
O -1.239 -0.619 3.498
Pm 0.892 -0.119 4.245
Sm 1.728 -0.230 8.225
Te 0.000 0.000 0.000
```

Values from the calculation:
**Density**: 7.4 g/cm3
**E above lowest polymorph**: 0.0 kJ/mol of formula units
**Magnetization**: 0.0 μB/cell

# 8
A plane-wave DFT calculation with GGA-PBE was carried out for PmSmTeO2 after structural relaxation.

```
5
Lattice="-0.786 0.318 -3.908 2.354 -2.945 1.333 -5.881 -4.324 0.831" Properties=species:S:1:pos:R:3 pbc="T T T"
O -2.225 -1.636 0.315
O -2.338 -4.538 0.101
Pm -4.104 -3.018 0.580
Sm -0.472 -3.166 -0.162
Te 0.253 -0.776 -2.160
```

Values from the calculation:
**Density**: 7.4 g/cm3
**E above lowest polymorph**: 38.1 kJ/mol of formula units
**Magnetization**: 0.0 μB/cell

# 9
A plane-wave DFT calculation with GGA-PBE was carried out for Pm5Sn3O after structural relaxation.

```
18
Lattice="9.166 0.000 0.000 -4.583 7.938 0.000 0.000 0.000 6.559" Properties=species:S:1:pos:R:3 pbc="T T T"
O 0.000 0.000 0.000
O 0.000 0.000 3.280
Pm 4.583 2.646 0.000
Pm 0.000 5.292 0.000
Pm 2.040 0.000 1.640
Pm -1.020 1.767 1.640
Pm 3.563 6.171 1.640
Pm 4.583 2.646 3.280
Pm 0.000 5.292 3.280
Pm 7.126 0.000 4.919
Pm 1.020 1.767 4.919
Pm -3.563 6.171 4.919
Sn 5.507 0.000 1.640
Sn 1.830 3.169 1.640
Sn -2.753 4.769 1.640
Sn 3.659 0.000 4.919
Sn -1.830 3.169 4.919
Sn 2.753 4.769 4.919
```

Values from the calculation:
**E**: -103.714 eV for the cell shown
**Density**: 7.6 g/cm3
**Magnetization**: 0.0 μB/cell

# 10
A plane-wave DFT calculation with GGA-PBE was carried out for Sr2PmO4 after structural relaxation.

```
14
Lattice="5.056 -5.057 0.000 -5.056 0.000 -5.057 5.056 5.057 0.000" Properties=species:S:1:pos:R:3 pbc="T T T"
O -1.238 1.237 -3.820
O 3.819 -1.237 -1.237
O 1.238 -1.237 -3.820
O 1.291 1.291 -1.291
O 6.294 1.237 -1.237
O 1.291 3.766 -3.766
O 3.766 3.766 -1.291
O 3.766 1.291 -3.766
Pm 0.000 0.000 0.000
Pm 2.528 -2.529 -2.529
Sr -1.264 -1.264 -3.793
Sr 6.320 -1.264 -1.264
Sr 3.792 1.264 -1.264
Sr 1.264 1.264 -3.793
```

Values from the calculation:
**E**: -92.462 eV for the cell shown
**Density**: 4.9 g/cm3
**Magnetization**: 2.0 μB/cell

# 11
A plane-wave DFT calculation with GGA-PBE was carried out for PmTaO3 after structural relaxation.

```
20
Lattice="5.469 0.000 0.000 0.000 6.006 0.000 0.000 0.000 7.738" Properties=species:S:1:pos:R:3 pbc="T T T"
O 3.769 1.777 0.344
O 4.435 4.780 0.344
O 0.749 2.736 1.935
O 1.986 5.739 1.935
O 3.769 1.777 3.525
O 4.435 4.780 3.525
O 1.034 1.226 4.213
O 1.700 4.229 4.213
O 3.483 0.267 5.804
O 4.720 3.270 5.804
O 1.034 1.226 7.394
O 1.700 4.229 7.394
Pm 5.276 0.508 1.935
Pm 2.928 3.511 1.935
Pm 2.541 2.495 5.804
Pm 0.193 5.498 5.804
Ta 2.735 0.000 0.000
Ta 0.000 3.003 0.000
Ta 2.735 0.000 3.869
Ta 0.000 3.003 3.869
```

Values from the calculation:
**E**: -179.621 eV for the cell shown
**Density**: 9.8 g/cm3
**Magnetization**: 0.0 μB/cell

# 12
A plane-wave DFT calculation with GGA-PBE was carried out for PmTaO3 after structural relaxation.

```
10
Lattice="0.290 -4.940 -2.671 -0.854 -0.248 -5.553 4.735 -1.014 -3.531" Properties=species:S:1:pos:R:3 pbc="T T T"
O 1.302 -3.138 -3.660
O 1.105 -5.091 -6.658
O 0.570 -1.551 -6.788
O 3.600 -4.652 -4.967
O 3.065 -1.111 -5.097
O 2.868 -3.064 -8.094
Pm -0.049 -3.411 -5.535
Pm 4.219 -2.791 -6.220
Ta 1.789 -4.846 -8.601
Ta 2.381 -1.356 -3.153
```

Values from the calculation:
**E**: -88.439 eV for the cell shown
**Density**: 9.0 g/cm3
**Magnetization**: 0.0 μB/cell

# 13
A plane-wave DFT calculation with GGA-PBE was carried out for Pm2Ta2O5 after structural relaxation.

```
9
Lattice="-2.019 -6.628 -1.706 2.695 -0.044 -3.019 2.793 -1.498 2.516" Properties=species:S:1:pos:R:3 pbc="T T T"
O 0.847 -1.665 -1.932
O -0.171 -5.007 -2.793
O 0.896 -2.392 0.835
O -0.122 -5.735 -0.026
O 1.735 -4.085 -1.105
Pm 0.000 0.000 0.000
Pm -1.009 -3.314 -0.853
Ta 2.345 -2.083 -0.589
Ta 1.125 -6.088 -1.620
```

Values from the calculation:
**Density**: 10.4 g/cm3
**E above lowest polymorph**: 0.0 kJ/mol of formula units
**Magnetization**: 0.0 μB/cell

# 14
A plane-wave DFT calculation with GGA-PBE was carried out for PmTaO3 after structural relaxation.

```
10
Lattice="-1.888 1.052 -4.876 -0.533 -4.421 -2.935 -5.106 -1.450 -0.524" Properties=species:S:1:pos:R:3 pbc="T T T"
O -2.382 -0.967 -4.756
O -2.960 -3.420 -5.801
O -2.460 -3.658 -3.130
O -5.066 -1.162 -5.206
O -4.566 -1.399 -2.534
O -5.144 -3.853 -3.580
Pm -1.882 -1.205 -2.084
Pm -5.645 -3.615 -6.252
Ta 0.000 0.000 0.000
Ta -3.763 -2.410 -4.168
```

Values from the calculation:
**E**: -89.489 eV for the cell shown
**Density**: 9.9 g/cm3
**Magnetization**: 0.0 μB/cell

# 15
A plane-wave DFT calculation with GGA-PBE was carried out for Pm6TaO12 after structural relaxation.

```
19
Lattice="5.027 2.902 3.197 -5.027 2.902 3.197 0.000 -5.804 3.197" Properties=species:S:1:pos:R:3 pbc="T T T"
O 1.151 4.514 5.345
O -3.334 3.254 4.246
O 0.740 1.958 3.859
O 4.485 1.260 4.246
O -1.326 1.619 5.732
O -2.065 -0.338 3.859
O 2.065 0.338 5.732
O 1.326 -1.619 3.859
O -4.485 -1.260 5.345
O -0.740 -1.958 5.732
O 3.334 -3.254 5.345
O -1.151 -4.514 4.246
Pm -1.573 1.830 3.352
Pm 2.371 0.448 3.352
Pm 0.798 2.278 6.238
Pm -0.798 -2.278 3.352
Pm -2.371 -0.448 6.238
Pm 1.573 -1.830 6.238
Ta 0.000 0.000 0.000
```

Values from the calculation:
**E**: -161.771 eV for the cell shown
**Density**: 7.4 g/cm3
**Magnetization**: 1.0 μB/cell

# 16
A plane-wave DFT calculation with GGA-PBE was carried out for PmTaO3 after structural relaxation.

```
5
Lattice="4.076 0.000 0.000 0.000 4.076 0.000 0.000 0.000 4.039" Properties=species:S:1:pos:R:3 pbc="T T T"
O 2.038 2.038 0.423
O 2.038 0.000 2.483
O 0.000 2.038 2.483
Pm 0.000 0.000 3.898
Ta 2.038 2.038 2.426
```

Values from the calculation:
**E**: -44.287 eV for the cell shown
**Density**: 9.3 g/cm3
**Magnetization**: 0.2 μB/cell

# 17
A plane-wave DFT calculation with GGA-PBE was carried out for Pm2Ta2O5 after structural relaxation.

```
9
Lattice="-0.445 -9.673 -3.519 2.055 -1.048 2.621 -2.818 -0.589 1.975" Properties=species:S:1:pos:R:3 pbc="T T T"
O 0.976 -1.640 0.904
O 0.634 -9.081 -1.803
O -1.461 -1.410 0.581
O -1.803 -8.851 -2.125
O -0.604 -5.655 0.538
Pm -0.500 -3.380 1.366
Pm -0.709 -7.929 -0.289
Ta 0.000 0.000 0.000
Ta -0.223 -4.836 -1.759
```

Values from the calculation:
**Density**: 9.7 g/cm3
**E above lowest polymorph**: 273.2 kJ/mol of formula units
**Magnetization**: 0.0 μB/cell

# 18
A plane-wave DFT calculation with GGA-PBE was carried out for Tb2Pm2O5 after structural relaxation.

```
9
Lattice="-3.383 3.882 5.407 -3.848 -0.479 -2.064 -0.726 -3.722 2.218" Properties=species:S:1:pos:R:3 pbc="T T T"
O -2.659 0.604 0.143
O -4.572 2.799 3.200
O -1.098 -1.017 2.284
O -3.011 1.177 5.341
O -3.979 -0.160 2.781
Pm 0.000 0.000 0.000
Pm -1.691 1.941 2.704
Tb -3.039 -1.238 1.278
Tb -4.919 0.919 4.283
```

Values from the calculation:
**Density**: 7.9 g/cm3
**E above lowest polymorph**: 54.6 kJ/mol of formula units
**Magnetization**: 1.4 μB/cell

# 19
A plane-wave DFT calculation with GGA-PBE was carried out for Tb2Pm2O5 after structural relaxation.

```
9
Lattice="-8.221 2.954 1.756 -0.536 -3.073 2.660 1.487 2.349 3.013" Properties=species:S:1:pos:R:3 pbc="T T T"
O -1.451 -1.111 1.583
O -7.306 0.993 2.833
O -0.439 1.599 1.759
O -6.295 3.704 3.009
O -3.635 1.115 3.714
Pm -1.512 0.353 3.261
Pm -5.757 1.878 4.168
Tb 0.000 0.000 0.000
Tb -4.111 1.477 0.878
```

Values from the calculation:
**Density**: 7.6 g/cm3
**E above lowest polymorph**: 0.0 kJ/mol of formula units
**Magnetization**: 1.5 μB/cell

# 20
A plane-wave DFT calculation with GGA-PBE was carried out for Pm6TcO12 after structural relaxation.

```
19
Lattice="5.009 2.892 3.204 -5.009 2.892 3.204 0.000 -5.784 3.204" Properties=species:S:1:pos:R:3 pbc="T T T"
O 1.112 4.557 5.357
O -3.390 3.242 4.256
O 0.758 1.951 3.869
O 4.503 1.315 4.256
O -1.311 1.632 5.744
O -2.068 -0.319 3.869
O 2.068 0.319 5.744
O 1.311 -1.632 3.869
O -4.503 -1.315 5.357
O -0.758 -1.951 5.744
O 3.390 -3.242 5.357
O -1.112 -4.557 4.256
Pm -1.520 1.832 3.411
Pm 2.347 0.400 3.411
Pm 0.827 2.232 6.202
Pm -0.827 -2.232 3.411
Pm -2.347 -0.400 6.202
Pm 1.520 -1.832 6.202
Tc 0.000 0.000 0.000
```

Values from the calculation:
**E**: -155.308 eV for the cell shown
**Density**: 6.9 g/cm3
**Magnetization**: 1.0 μB/cell